A relaxed Y2Ga2Sn crystal. Source: Alexandria via LeMat-Bulk, functional GGA-PBE.

Calculated values
**E_form**: -0.683 eV per atom
**Space-group type**: No. 127
**E above lowest polymorph**: 0.0000 eV per atom

abc: 7.254 7.254 4.406
angles: 90.00 90.00 90.00
Sites, in units of the cell vectors:
Y (0.673, 0.827, 0.500)
Y (0.173, 0.673, 0.500)
Y (0.327, 0.173, 0.500)
Y (0.827, 0.327, 0.500)
Sn (0.000, 0.000, 0.000)
Sn (0.500, 0.500, 0.000)
Ga (0.123, 0.377, 0.000)
Ga (0.377, 0.877, 0.000)
Ga (0.623, 0.123, 0.000)
Ga (0.877, 0.623, 0.000)

---

A relaxed Dy4Te5Se crystal. Source: Alexandria via LeMat-Bulk, functional GGA-PBE.

Calculated values
**Space-group type**: No. 12
**Formation energy from raw total energies**: -1.4020 eV per atom

abc: 4.288 8.686 9.639
angles: 103.19 102.85 90.00
Sites, in units of the cell vectors:
Dy (0.997, 0.750, 0.995)
Dy (0.669, 0.094, 0.338)
Dy (0.331, 0.906, 0.662)
Dy (0.003, 0.250, 0.005)
Se (0.500, 0.000, 0.000)
Te (0.836, 0.665, 0.671)
Te (0.164, 0.834, 0.328)
Te (0.164, 0.335, 0.329)
Te (0.500, 0.500, 0.000)
Te (0.836, 0.166, 0.672)

---

A relaxed NaZn2N2 crystal. Source: Alexandria via LeMat-Bulk, functional GGA-PBE.

Calculated values
**Space-group type**: No. 139
**E above lowest polymorph**: 0.0000 eV per atom
**Formation energy from raw total energies**: 0.3604 eV per atom

abc: 3.629 3.629 5.917
angles: 72.14 72.14 90.00
Sites, in units of the cell vectors:
Zn (0.750, 0.250, 0.500)
Zn (0.250, 0.750, 0.500)
Na (0.000, 0.000, 0.000)
N (0.653, 0.653, 0.694)
N (0.347, 0.347, 0.306)

---

A relaxed Hf2MgSbS crystal. Source: Alexandria via LeMat-Bulk, functional GGA-PBE.

Calculated values
**Space-group type**: No. 123
**Formation energy from raw total energies**: 0.0288 eV per atom

abc: 4.743 5.459 4.743
angles: 90.00 90.00 90.00
Sites, in units of the cell vectors:
Mg (0.500, 0.500, 0.500)
Hf (0.500, 0.000, 0.000)
Hf (0.000, 0.000, 0.500)
S (0.000, 0.000, 0.000)
Sb (0.000, 0.500, 0.000)

---

A relaxed LaGaCo3 crystal. Source: Alexandria via LeMat-Bulk, functional GGA-PBE.

Calculated values
**E_form**: 1.452 eV per atom
**Space-group type**: No. 221
**E above lowest polymorph**: 1.1461 eV per atom

abc: 4.625 4.625 4.625
angles: 90.00 90.00 90.00
Sites, in units of the cell vectors:
Ga (0.500, 0.500, 0.500)
Co (0.000, 0.000, 0.500)
Co (0.500, 0.000, 0.000)
Co (0.000, 0.500, 0.000)
La (0.000, 0.000, 0.000)

---

A relaxed Mn4Fe6Co crystal. Source: Alexandria via LeMat-Bulk, functional GGA-PBE.

Calculated values
**E_form**: 0.380 eV per atom
**Space-group type**: No. 186

abc: 4.771 8.034 8.035
angles: 120.00 90.00 90.00
Sites, in units of the cell vectors:
Fe (0.863, 0.502, 0.003)
Fe (0.567, 0.813, 0.626)
Fe (0.067, 0.626, 0.813)
Fe (0.567, 0.374, 0.187)
Fe (0.067, 0.187, 0.374)
Fe (0.863, 0.997, 0.498)
Fe (0.363, 0.003, 0.502)
Fe (0.067, 0.187, 0.813)
Fe (0.863, 0.502, 0.498)
Fe (0.363, 0.498, 0.997)
Fe (0.363, 0.498, 0.502)
Fe (0.567, 0.813, 0.187)
Mn (0.573, 0.146, 0.292)
Mn (0.572, 0.146, 0.854)
Mn (0.276, 0.333, 0.667)
Mn (0.072, 0.854, 0.146)
Mn (0.776, 0.667, 0.333)
Mn (0.072, 0.292, 0.146)
Mn (0.572, 0.708, 0.854)
Mn (0.073, 0.854, 0.708)
Co (0.241, 0.667, 0.333)
Co (0.741, 0.333, 0.667)

---

A relaxed TeH3Os crystal. Source: Alexandria via LeMat-Bulk, functional GGA-PBE.

Calculated values
**Space-group type**: No. 221
**E above lowest polymorph**: 1.0402 eV per atom

abc: 3.897 3.897 3.897
angles: 90.00 90.00 90.00
Sites, in units of the cell vectors:
H (0.500, 0.000, 0.000)
H (0.000, 0.000, 0.500)
H (0.000, 0.500, 0.000)
Os (0.500, 0.500, 0.500)
Te (0.000, 0.000, 0.000)

---

A relaxed Tc2Sn2Se crystal. Source: Alexandria via LeMat-Bulk, functional GGA-PBE.

Calculated values
**Space-group type**: No. 127
**Formation energy from raw total energies**: 0.2670 eV per atom

abc: 7.462 7.462 3.395
angles: 90.00 90.00 90.00
Sites, in units of the cell vectors:
Sn (0.148, 0.648, 0.500)
Sn (0.852, 0.352, 0.500)
Sn (0.352, 0.148, 0.500)
Sn (0.648, 0.852, 0.500)
Se (0.000, 0.000, 0.000)
Se (0.500, 0.500, 0.000)
Tc (0.850, 0.650, 0.000)
Tc (0.150, 0.350, 0.000)
Tc (0.350, 0.850, 0.000)
Tc (0.650, 0.150, 0.000)

---

Copy entry 1 word for word.
A relaxed Y2Ga2Sn crystal. Source: Alexandria via LeMat-Bulk, functional GGA-PBE.

Calculated values
**E_form**: -0.683 eV per atom
**Space-group type**: No. 127
**E above lowest polymorph**: 0.0000 eV per atom

abc: 7.254 7.254 4.406
angles: 90.00 90.00 90.00
Sites, in units of the cell vectors:
Y (0.673, 0.827, 0.500)
Y (0.173, 0.673, 0.500)
Y (0.327, 0.173, 0.500)
Y (0.827, 0.327, 0.500)
Sn (0.000, 0.000, 0.000)
Sn (0.500, 0.500, 0.000)
Ga (0.123, 0.377, 0.000)
Ga (0.377, 0.877, 0.000)
Ga (0.623, 0.123, 0.000)
Ga (0.877, 0.623, 0.000)